[1]
## Hg3Pt4 (GGA-PBE)

Data for crystalline Hg3Pt4 at its relaxed geometry.

Calculated values
Density   18.06 g cm⁻³
E above lowest polymorph   0 meV per atom
ΔE_f   9.1 kJ per mole of atoms

Cell lengths 2.9479, 2.9479, 29.2401 Å; angles 90.00, 90.00, 90.00 degrees
Space group I4/mmm (No. 139)
One atom of each set of equivalent atoms:
Hg: 0.0000 0.0000 0.0000 [2 per cell]
Hg: 0.0000 0.0000 0.2947 [4 per cell]
Pt: 0.0000 0.0000 0.1350 [4 per cell]
Pt: 0.0000 0.0000 0.4297 [4 per cell]

[2]
## AcTmTeO6 (GGA-PBE)

Data for crystalline AcTmTeO6 at its relaxed geometry.

Calculated values
Density   7.24 g cm⁻³
Electronic total energy   -7.13 eV per atom

Cell lengths 5.5749, 5.5749, 5.2771 Å; angles 90.00, 90.00, 120.00 degrees
Space group P312 (No. 149)
One atom of each set of equivalent atoms:
Ac: 0.0000 0.0000 0.0000 [1 per cell]
Tm: 0.3333 0.6667 0.5000 [1 per cell]
Te: 0.6667 0.3333 0.5000 [1 per cell]
O: 0.3846 0.0359 0.7108 [6 per cell]

[3]
## Ac4CuIrBr2 (GGA-PBE)

Data for crystalline Ac4CuIrBr2 at its relaxed geometry.

Calculated values
Density   7.90 g cm⁻³
Electronic total energy   -5.04 eV per atom

Cell lengths 7.6101, 4.4454, 8.6196 Å; angles 90.00, 107.36, 90.00 degrees
Space group P2/m (No. 10)
One atom of each set of equivalent atoms:
Ac: 0.2248 0.0000 0.1950 [2 per cell]
Ac: 0.2584 0.5000 0.8049 [2 per cell]
Cu: 0.5000 0.0000 0.0000 [1 per cell]
Ir: 0.0000 0.5000 0.0000 [1 per cell]
Br: 0.0000 0.0000 0.5000 [1 per cell]
Br: 0.5000 0.5000 0.5000 [1 per cell]

[4]
## K3TlBr (GGA-PBE)

Data for crystalline K3TlBr at its relaxed geometry.

Calculated values
Density   2.65 g cm⁻³
E above lowest polymorph   0 meV per atom

Cell lengths 6.3144, 6.3144, 6.3144 Å; angles 90.00, 90.00, 90.00 degrees
Space group Pm-3m (No. 221)
One atom of each set of equivalent atoms:
K: 0.0000 0.0000 0.5000 [3 per cell]
Tl: 0.5000 0.5000 0.5000 [1 per cell]
Br: 0.0000 0.0000 0.0000 [1 per cell]

[5]
## Ni2AgPb2 (GGA-PBE)

Data for crystalline Ni2AgPb2 at its relaxed geometry.

Calculated values
Density   10.45 g cm⁻³
E above lowest polymorph   79 meV per atom
ΔE_f   23.8 kJ per mole of atoms

Cell lengths 3.4486, 3.4486, 17.0879 Å; angles 90.00, 90.00, 90.00 degrees
Space group I4/mmm (No. 139)
One atom of each set of equivalent atoms:
Ni: 0.0000 0.5000 0.2500 [4 per cell]
Ag: 0.0000 0.0000 0.0000 [2 per cell]
Pb: 0.0000 0.0000 0.3765 [4 per cell]

[6]
## Mn2V3Te8 (GGA-PBE)

Data for crystalline Mn2V3Te8 at its relaxed geometry.

Calculated values
Density   6.28 g cm⁻³
Electronic total energy   -5.67 eV per atom

Cell lengths 13.7833, 7.7049, 6.7269 Å; angles 90.00, 108.25, 90.00 degrees
Space group C2/m (No. 12)
One atom of each set of equivalent atoms:
Mn: 0.2457 0.0000 0.0151 [4 per cell]
V: 0.0000 0.2756 0.0000 [4 per cell]
V: 0.0000 0.5000 0.5000 [2 per cell]
Te: 0.1111 0.0000 0.2320 [4 per cell]
Te: 0.1249 0.2529 0.7517 [8 per cell]
Te: 0.1325 0.5000 0.2613 [4 per cell]

[7]
## K2TaCr2Se6 (GGA-PBE)

Data for crystalline K2TaCr2Se6 at its relaxed geometry.

Calculated values
Density   4.98 g cm⁻³
Electronic total energy   -5.72 eV per atom

Cell lengths 6.3897, 11.0746, 8.1517 Å; angles 90.00, 104.68, 90.00 degrees
Space group C2/m (No. 12)
One atom of each set of equivalent atoms:
K: 0.0000 0.1642 0.0000 [4 per cell]
Ta: 0.0000 0.0000 0.5000 [2 per cell]
Cr: 0.0000 0.3325 0.5000 [4 per cell]
Se: 0.2158 0.5000 0.6850 [4 per cell]
Se: 0.2318 0.1697 0.6847 [8 per cell]

[8]
## DyPuI5 (GGA-PBE)

Data for crystalline DyPuI5 at its relaxed geometry.

Calculated values
Density   5.83 g cm⁻³
Electronic total energy   -5.03 eV per atom

Cell lengths 9.3156, 4.2784, 14.9404 Å; angles 90.00, 95.09, 90.00 degrees
Space group P2_1/m (No. 11)
One atom of each set of equivalent atoms:
Dy: 0.0865 0.2500 0.1559 [2 per cell]
Pu: 0.4065 0.7500 0.3600 [2 per cell]
I: 0.1282 0.2500 0.7960 [2 per cell]
I: 0.1464 0.2500 0.3655 [2 per cell]
I: 0.1776 0.7500 0.0202 [2 per cell]
I: 0.3505 0.7500 0.5712 [2 per cell]
I: 0.4225 0.2500 0.1945 [2 per cell]

[9]
## DyHfSc2S6 (GGA-PBE)

Data for crystalline DyHfSc2S6 at its relaxed geometry.

Calculated values
Density   4.66 g cm⁻³
Electronic total energy   -7.00 eV per atom

Cell lengths 6.5411, 6.5411, 17.9823 Å; angles 90.00, 90.00, 120.00 degrees
Space group R3 (No. 146, hexagonal axes)
One atom of each set of equivalent atoms:
Dy: 0.0000 0.0000 0.0000 [3 per cell]
Hf: 0.0000 0.0000 0.5062 [3 per cell]
Sc: 0.0000 0.0000 0.1918 [3 per cell]
Sc: 0.0000 0.0000 0.6946 [3 per cell]
S: 0.0038 0.3207 0.1015 [9 per cell]
S: 0.0423 0.6873 0.2652 [9 per cell]

[10]
## KCuSi (GGA-PBE)

Data for crystalline KCuSi at its relaxed geometry.

Calculated values
Density   3.11 g cm⁻³
E above lowest polymorph   0 meV per atom

Cell lengths 4.2536, 4.2536, 15.4191 Å; angles 90.00, 90.00, 90.00 degrees
Space group I4/mmm (No. 139)
One atom of each set of equivalent atoms:
K: 0.0000 0.0000 0.1725 [4 per cell]
Cu: 0.0000 0.5000 0.0000 [4 per cell]
Si: 0.0000 0.0000 0.4204 [4 per cell]

[11]
## Sn6PdPt (GGA-PBE)

Data for crystalline Sn6PdPt at its relaxed geometry.

Calculated values
Density   8.60 g cm⁻³
ΔE_f   -15.1 kJ per mole of atoms

Cell lengths 6.3692, 11.0795, 6.3715 Å; angles 90.00, 119.40, 90.00 degrees
Space group C2/m (No. 12)
One atom of each set of equivalent atoms:
Sn: 0.0030 0.0000 0.2511 [4 per cell]
Sn: 0.0042 0.2953 0.2524 [8 per cell]
Pd: 0.0000 0.5000 0.0000 [2 per cell]
Pt: 0.0000 0.5000 0.5000 [2 per cell]

[12]
## Mg4TcW (GGA-PBE)

Data for crystalline Mg4TcW at its relaxed geometry.

Calculated values
Density   6.09 g cm⁻³
ΔE_f   70.2 kJ per mole of atoms

Cell lengths 7.4502, 7.4502, 7.4502 Å; angles 90.00, 90.00, 90.00 degrees
Space group F-43m (No. 216)
One atom of each set of equivalent atoms:
Mg: 0.1253 0.1253 0.1253 [16 per cell]
Tc: 0.2500 0.2500 0.7500 [4 per cell]
W: 0.0000 0.0000 0.5000 [4 per cell]